VASP calculation (PBE with a Hubbard U) on NdDyCr2O8 after structural relaxation.

Structure (CIF):
```
data_NdDyCr2O8
_cell_length_a 6.0799
_cell_length_b 6.0799
_cell_length_c 6.0799
_cell_angle_alpha 105.90
_cell_angle_beta 105.90
_cell_angle_gamma 116.88
_symmetry_space_group_name_H-M 'P 1'
_symmetry_Int_Tables_number 1
_symmetry_space_group_name_Hall 'P 1'
loop_
_atom_site_label
_atom_site_type_symbol
_atom_site_fract_x
_atom_site_fract_y
_atom_site_fract_z
_atom_site_occupancy
Nd1 Nd 0.0000 0.0000 0.0000 1
Dy1 Dy 0.7500 0.2500 0.5000 1
Cr1 Cr 0.2500 0.7500 0.5000 1
Cr2 Cr 0.5000 0.5000 0.0000 1
O1 O 0.0747 0.3958 0.3211 1
O2 O 0.0747 0.7536 0.6789 1
O3 O 0.1465 0.3319 0.8146 1
O4 O 0.2464 0.9253 0.3211 1
O5 O 0.5173 0.3319 0.1854 1
O6 O 0.6042 0.9253 0.6789 1
O7 O 0.6681 0.4827 0.8146 1
O8 O 0.6681 0.8535 0.1854 1
```

total energy: -7.64 eV/atom
symmetry: No. 119
total magnetization: 0.17 μB/atom